(1)
The following is a meta-GGA SCAN calculation of Ba3BH at its PBEsol-relaxed geometry, from Alexandria.

Cell lengths 5.8673, 5.8673, 5.8673 Å; angles 90.00, 90.00, 90.00 degrees
Closest atoms and distances in Å follow each position.
Fractional coordinates of all 5 atoms:
Ba 0.0000 0.0000 0.5000  2 B 2.93
Ba 0.0000 0.5000 0.0000  2 B 2.93
Ba 0.5000 0.0000 0.0000  2 B 2.93
B 0.0000 0.0000 0.0000  6 Ba 2.93
H 0.5000 0.5000 0.5000  12 Ba 4.15

Space-group type   Pm-3m
N(E_F)   5.631 states/eV/f.u.
Raw total energy   -126.429 eV/cell

(2)
The following is a meta-GGA SCAN calculation of Ba2B11H7O22 at its PBEsol-relaxed geometry, from Alexandria.

Cell lengths 6.8145, 6.8332, 21.2584 Å; angles 85.00, 82.83, 60.15 degrees
Closest atoms and distances in Å follow each position.
Fractional coordinates of all 84 atoms:
Ba 0.1570 0.1433 0.0586  8 O 2.63-2.94
Ba 0.3061 0.3470 0.5527  6 O 2.62-2.89
Ba 0.6939 0.6530 0.4473  6 O 2.62-2.89
Ba 0.8430 0.8567 0.9414  8 O 2.63-2.94
B 0.0677 0.1503 0.2154  3 O 1.37
B 0.1252 0.1412 0.4208  3 O 1.36-1.41
B 0.1899 0.9364 0.5737  3 O 1.37-1.39
B 0.1994 0.1929 0.9087  4 O 1.46-1.51
B 0.2042 0.7498 0.4025  4 O 1.45-1.50
B 0.2464 0.6245 0.0756  3 O 1.36-1.41
B 0.3351 0.5397 0.3023  3 O 1.37-1.38
B 0.3384 0.0181 0.8045  3 O 1.37-1.38
B 0.3629 0.4502 0.9295  3 O 1.37-1.39
B 0.3876 0.3281 0.4040  4 O 1.46-1.52
B 0.4409 0.7699 0.9024  4 O 1.45-1.49
B 0.5591 0.2301 0.0976  4 O 1.45-1.49
B 0.6124 0.6719 0.5960  4 O 1.46-1.52
B 0.6371 0.5498 0.0705  3 O 1.37-1.39
B 0.6616 0.9819 0.1955  3 O 1.37-1.38
B 0.6649 0.4603 0.6977  3 O 1.37-1.38
B 0.7536 0.3755 0.9244  3 O 1.36-1.41
B 0.7958 0.2502 0.5975  4 O 1.45-1.50
B 0.8006 0.8071 0.0913  4 O 1.46-1.51
B 0.8101 0.0636 0.4263  3 O 1.37-1.39
B 0.8748 0.8588 0.5792  3 O 1.36-1.41
B 0.9323 0.8497 0.7846  3 O 1.37
H 0.0946 0.4998 0.8122  1 O 0.99
H 0.1081 0.9977 0.3004  1 O 1.01
H 0.1382 0.5746 0.6926  1 O 0.99
H 0.2494 0.8034 0.2047  1 O 1.01
H 0.2694 0.2971 0.7047  1 O 1.00
H 0.4368 0.4113 0.2123  1 O 1.01
H 0.4367 0.9032 0.7138  1 O 1.00
H 0.5633 0.0968 0.2862  1 O 1.00
H 0.5632 0.5887 0.7877  1 O 1.01
H 0.7306 0.7029 0.2953  1 O 1.00
H 0.7506 0.1966 0.7953  1 O 1.01
H 0.8618 0.4254 0.3074  1 O 0.99
H 0.8919 0.0023 0.6996  1 O 1.01
H 0.9054 0.5002 0.1878  1 O 0.99
O 0.0157 0.6609 0.8234  1 H 0.99
O 0.0277 0.7881 0.0683  2 B 1.37-1.51
O 0.0377 0.1622 0.5719  2 B 1.37-1.49
O 0.0392 0.1551 0.2804  1 H 1.01
O 0.1096 0.7842 0.5767  2 B 1.39-1.41
O 0.1797 0.3052 0.4264  2 B 1.36-1.52
O 0.1827 0.9556 0.1817  1 H 1.01
O 0.2042 0.3810 0.9373  2 B 1.37-1.49
O 0.2174 0.7401 0.3334  2 B 1.37-1.47
O 0.2248 0.2108 0.8392  2 B 1.37-1.47
O 0.2448 0.4249 0.6740  2 H 0.99-1.00
O 0.2745 0.9163 0.4164  2 B 1.36-1.50
O 0.2899 0.6762 0.9257  2 B 1.37-1.48
O 0.3227 0.3996 0.0841  2 B 1.36-1.49
O 0.3513 0.0430 0.7394  1 H 1.00
O 0.3524 0.5334 0.4315  2 B 1.45-1.46
O 0.3561 0.5550 0.2372  1 H 1.01
O 0.3754 0.9777 0.9331  2 B 1.45-1.46
O 0.4060 0.6999 0.0709  2 B 1.39-1.41
O 0.4163 0.8718 0.5692  2 B 1.37-1.49
O 0.4212 0.3335 0.3345  2 B 1.38-1.47
O 0.4377 0.8057 0.8326  2 B 1.38-1.48
O 0.5623 0.1943 0.1674  2 B 1.38-1.48
O 0.5788 0.6665 0.6655  2 B 1.38-1.47
O 0.5837 0.1282 0.4308  2 B 1.37-1.49
O 0.5940 0.3001 0.9291  2 B 1.39-1.41
O 0.6246 0.0223 0.0669  2 B 1.45-1.46
O 0.6439 0.4450 0.7628  1 H 1.01
O 0.6476 0.4666 0.5685  2 B 1.45-1.46
O 0.6487 0.9570 0.2606  1 H 1.00
O 0.6773 0.6004 0.9159  2 B 1.36-1.49
O 0.7101 0.3238 0.0743  2 B 1.37-1.48
O 0.7255 0.0837 0.5836  2 B 1.36-1.50
O 0.7552 0.5751 0.3260  2 H 0.99-1.00
O 0.7752 0.7892 0.1608  2 B 1.37-1.47
O 0.7826 0.2599 0.6666  2 B 1.37-1.47
O 0.7958 0.6190 0.0627  2 B 1.37-1.49
O 0.8173 0.0444 0.8183  1 H 1.01
O 0.8203 0.6948 0.5736  2 B 1.36-1.52
O 0.8904 0.2158 0.4233  2 B 1.39-1.41
O 0.9608 0.8449 0.7196  1 H 1.01
O 0.9623 0.8378 0.4281  2 B 1.37-1.49
O 0.9723 0.2119 0.9317  2 B 1.37-1.51
O 0.9843 0.3391 0.1766  1 H 0.99

Space-group type   P-1
N(E_F)   0.000 states/eV/f.u.
Raw total energy   -843.307 eV/cell

Among the records above, which one has the lowest raw total energy?
Ba2B11H7O22